1.
{"formula": "Tb2ErTe", "functional": "GGA-PBE", "state": "optimized geometry", "total_magnetization_mub_per_cell": 0.01, "mass_density_g_cm3": 8.00, "relative_energy_ev_per_atom": 0.118, "formation_energy_uncorrected_mev_per_atom": -532.7, "final_energy_ev_per_cell": -19.096, "lattice_angstrom": [[3.886, 0.000, 0.000], [1.943, 3.366, 0.000], [1.943, 1.122, 9.725]], "species": ["Tb", "Te", "Tb", "Er"], "fractional_positions": [[0.261, 0.261, 0.218], [0.667, 0.667, 0.000], [0.073, 0.073, 0.781], [0.500, 0.500, 0.501]]}

***

2.
{"formula": "Nd2Sm3Y", "functional": "GGA-PBE", "state": "optimized geometry", "delta_e_f_ev_per_atom": 0.06, "total_magnetization_mub_per_cell": 0.00, "mass_density_g_cm3": 6.66, "relative_energy_ev_per_atom": 0.000, "final_energy_ev_per_cell": -59.555, "lattice_angstrom": [[3.595, 0.000, 0.000], [0.000, 9.735, 1.229], [0.000, -0.795, 11.707]], "species": ["Nd", "Sm", "Y", "Nd", "Y", "Sm", "Sm", "Sm", "Sm", "Nd", "Nd", "Sm"], "fractional_positions": [[0.750, 0.558, 0.143], [0.250, 0.077, 0.881], [0.250, 0.758, 0.355], [0.750, 0.085, 0.378], [0.750, 0.242, 0.645], [0.250, 0.401, 0.399], [0.750, 0.765, 0.860], [0.250, 0.235, 0.140], [0.750, 0.599, 0.601], [0.250, 0.442, 0.857], [0.250, 0.915, 0.622], [0.750, 0.923, 0.119]]}